Entry 1:
# SmInSe2 (PBE, optimized geometry)
data_SmInSe2
_chemical_formula_sum 'Sm3 In3 Se6'
_symmetry_space_group_name_H-M 'R 3 m'
_symmetry_Int_Tables_number 160
_symmetry_space_group_name_Hall 'R 3 -2"'
_cell_length_a 4.2243
_cell_length_b 4.2243
_cell_length_c 23.5793
_cell_angle_alpha 90.00
_cell_angle_beta 90.00
_cell_angle_gamma 120.00
loop_
_atom_site_label
_atom_site_fract_x
_atom_site_fract_y
_atom_site_fract_z
_atom_site_occupancy
Sm1 0.0000 0.0000 0.0000 1
In1 0.0000 0.0000 0.1699 1
Se1 0.0000 0.0000 0.4024 1
Se2 0.0000 0.0000 0.5956 1
# Volume (Å³ per atom): 30.4
# Formation energy (no corrections) (eV/atom): -1.274

Entry 2:
# LiSi2 (PBE, optimized geometry)
data_LiSi2
_chemical_formula_sum 'Li2 Si4'
_symmetry_space_group_name_H-M 'P n n m'
_symmetry_Int_Tables_number 58
_symmetry_space_group_name_Hall '-P 2 2n'
_cell_length_a 2.7362
_cell_length_b 7.0288
_cell_length_c 4.8606
_cell_angle_alpha 90.00
_cell_angle_beta 90.00
_cell_angle_gamma 90.00
loop_
_atom_site_label
_atom_site_fract_x
_atom_site_fract_y
_atom_site_fract_z
_atom_site_occupancy
Li1 0.0000 0.0000 0.0000 1
Si1 0.2392 0.1492 0.5000 1
# Volume (Å³ per atom): 15.6
# Relative energy among the computed polymorphs (meV per atom): 324
# Formation energy (no corrections) (eV/atom): 0.284

Entry 3:
# CeErZnAg (PBE, optimized geometry)
data_CeErZnAg
_chemical_formula_sum 'Ce1 Er1 Zn1 Ag1'
_symmetry_space_group_name_H-M 'P 4 m m'
_symmetry_Int_Tables_number 99
_symmetry_space_group_name_Hall 'P 4 -2'
_cell_length_a 3.5611
_cell_length_b 3.5611
_cell_length_c 7.4909
_cell_angle_alpha 90.00
_cell_angle_beta 90.00
_cell_angle_gamma 90.00
loop_
_atom_site_label
_atom_site_fract_x
_atom_site_fract_y
_atom_site_fract_z
_atom_site_occupancy
Ce1 0.0000 0.0000 0.0000 1
Er1 0.0000 0.0000 0.4830 1
Zn1 0.5000 0.5000 0.2547 1
Ag1 0.5000 0.5000 0.7150 1
# Volume (Å³ per atom): 23.7
# Relative energy among the computed polymorphs (meV per atom): 0
# Formation energy (kJ per mole of atoms): -22

Ordered uncorrected energy results: -4.8805; -3.9693; -3.8829; unit eV/atom.